Entry 1:
This record from Alexandria describes an optimized crystal structure of La2InBr8. The functional is GGA-PBE.

Cell and atoms, written as extended XYZ:
```
11
Lattice="5.717 0.318 0.477 -0.500 8.634 -0.202 -0.500 -3.512 7.891" Properties=species:S:1:pos:R:3 pbc="T T T"
Br 3.769 2.785 4.180
Br 2.358 5.726 2.080
Br 4.885 2.860 7.754
Br 2.358 -0.286 6.085
Br 4.885 6.054 5.626
Br -0.168 -0.614 2.540
Br -0.168 2.580 0.412
Br 0.948 2.655 3.986
La -0.500 4.975 2.236
La -0.500 0.148 5.452
In 2.858 0.159 0.239
```

Results
Excess energy over the best structure of this formula in the dataset = 35.8 meV per atom
Formation energy (no corrections) = -1.537 eV per atom
V = 389.6 Å³ per cell

Entry 2:
This record from Alexandria describes an optimized crystal structure of CoBi2I. The functional is GGA-PBE.

Cell and atoms, written as extended XYZ:
```
8
Lattice="-3.630 1.185 5.663 5.033 -2.651 3.781 3.218 4.717 5.194" Properties=species:S:1:pos:R:3 pbc="T T T"
Co 0.702 -0.733 4.722
Co 4.476 0.667 6.848
Bi 3.022 2.582 11.693
Bi 3.050 -0.184 5.067
Bi 3.559 2.662 7.902
Bi -0.388 1.443 4.613
I 0.000 0.000 0.000
I 0.145 2.585 7.790
```

Results
Excess energy over the best structure of this formula in the dataset = 0.0 meV per atom
Formation energy (no corrections) = 0.261 eV per atom
V = 280.9 Å³ per cell

Entry 3:
This record from Alexandria describes an optimized crystal structure of Ca2OsPdO8. The functional is GGA-PBE.

Cell and atoms, written as extended XYZ:
```
12
Lattice="5.065 -0.076 -0.003 -0.068 5.036 -0.006 0.004 0.007 6.417" Properties=species:S:1:pos:R:3 pbc="T T T"
O 0.796 4.157 4.900
O 0.794 4.154 1.506
O 3.612 3.617 3.202
O 1.318 1.287 6.414
O 3.684 3.680 -0.006
O 4.207 0.814 4.902
O 1.389 1.350 3.206
O 4.205 0.810 1.508
Pd 0.002 0.003 3.208
Ca 2.502 2.486 4.802
Ca 2.499 2.482 1.607
Os 0.000 0.000 0.000
```

Results
Formation energy (no corrections) = -1.341 eV per atom
V = 163.6 Å³ per cell

Entry 4:
This record from Alexandria describes an optimized crystal structure of LiTh2Al3Ga4. The functional is GGA-PBE.

Cell and atoms, written as extended XYZ:
```
10
Lattice="-2.150 -3.112 2.017 0.539 -2.570 -3.388 9.290 -3.660 4.255" Properties=species:S:1:pos:R:3 pbc="T T T"
Ga 0.000 0.000 0.000
Ga 3.654 -2.618 -0.144
Ga 4.831 -3.883 3.714
Ga -0.805 -2.841 -0.685
Th 7.308 -4.058 1.529
Th 1.177 -2.443 2.040
Li 3.840 -4.671 1.442
Al 6.947 -4.716 4.682
Al 4.645 -1.830 2.127
Al 1.538 -1.785 -1.113
```

Results
Energy relative to the elements = -3.74 eV/f.u.
V = 199.4 Å³ per cell

Entry 5:
This record from Alexandria describes an optimized crystal structure of LiDyAg3. The functional is GGA-PBE.

Cell and atoms, written as extended XYZ:
```
10
Lattice="-1.949 -2.188 5.077 2.795 -2.234 6.809 -4.077 5.138 4.281" Properties=species:S:1:pos:R:3 pbc="T T T"
Ag 0.131 0.313 5.376
Ag -1.382 2.383 9.333
Ag -3.416 1.077 7.373
Ag 1.135 -2.035 9.534
Ag -4.232 2.557 9.867
Ag -3.217 3.834 7.381
Dy -2.233 0.880 11.779
Dy -0.976 -0.442 8.024
Li 0.203 -3.039 12.040
Li -2.251 1.859 4.680
```

Results
Energy relative to the elements = -0.84 eV/f.u.
V = 200.5 Å³ per cell

Entry 6:
This record from Alexandria describes an optimized crystal structure of AcNd3N. The functional is GGA-PBE.

Cell and atoms, written as extended XYZ:
```
5
Lattice="-1.762 -2.628 -4.160 4.916 -0.744 -1.612 0.219 -4.456 2.723" Properties=species:S:1:pos:R:3 pbc="T T T"
Ac 1.686 -3.914 -1.524
Nd 2.458 -0.372 -0.806
Nd -0.881 -1.314 -2.080
Nd 0.109 -2.228 1.361
N 0.000 0.000 0.000
```

Results
Formation energy (no corrections) = -0.374 eV per atom
V = 142.8 Å³ per cell